A plane-wave DFT calculation with PBE-GGA was carried out for an optimized crystal structure of CrPb2W.

Size of the total moment ... 2.7 Bohr magnetons per cell
Energy ... -25.81 eV/cell
Fermi-level density of states ... 1.0430 states/eV per atom
V ... 20.8 Å³ per atom
Calculated formation energy ... 1.046 eV/atom

Unit cell a=5.577 b=5.577 c=5.577 alpha=135.83 beta=135.83 gamma=64.25
Last column: magnetic moment on the atom in μB.
Positions (direct):
W 0.500 0.500 0.000  -0.85
Pb 0.000 0.000 0.000  0.00
Pb 0.250 0.750 0.500  0.00
Cr 0.750 0.250 0.500  3.39